1.
Crystalline RbTaP2Cl at its relaxed geometry. Source: the Alexandria database, functional PBE.

```
RbTaP2Cl
1.0
5.190 0.000 0.000
0.000 5.190 0.000
0.000 0.000 5.239
Rb Ta P Cl
1 1 2 1
direct
0.000 0.000 0.000 Rb
0.500 0.500 0.500 Ta
0.000 0.500 0.000 P
0.500 0.000 0.000 P
0.000 0.000 0.500 Cl
```

**Volume**: 141.1 Å³/cell
**Formation energy from raw total energies**: 10.8 eV/f.u.

2.
Crystalline Ac2CdAg4Ge3 at its relaxed geometry. Source: the Alexandria database, functional PBE.

```
Ac2CdAg4Ge3
1.0
4.524 0.000 0.000
0.000 4.524 0.000
0.000 0.000 11.348
Ac Cd Ag Ge
2 1 4 3
direct
0.000 0.500 0.236 Ac
0.500 0.000 0.764 Ac
0.000 0.000 0.500 Cd
0.000 0.000 0.000 Ag
0.000 0.500 0.641 Ag
0.500 0.000 0.359 Ag
0.500 0.500 0.000 Ag
0.000 0.500 0.867 Ge
0.500 0.000 0.133 Ge
0.500 0.500 0.500 Ge
```

**Volume**: 232.3 Å³/cell
**Formation enthalpy at 0 K**: -0.365 eV per atom

3.
Crystalline Pr3Nd5Sm at its relaxed geometry. Source: the Alexandria database, functional PBE.

```
Pr3Nd5Sm
1.0
5.784 -4.203 0.000
5.784 4.203 0.000
-5.667 0.000 13.826
Pr Nd Sm
6 10 2
direct
0.000 0.000 0.000 Pr
0.000 0.000 0.500 Pr
0.186 0.186 0.377 Pr
0.294 0.294 0.998 Pr
0.706 0.706 0.002 Pr
0.814 0.814 0.623 Pr
0.211 0.633 0.843 Nd
0.305 0.305 0.620 Nd
0.325 0.675 0.500 Nd
0.360 0.360 0.241 Nd
0.367 0.789 0.157 Nd
0.633 0.211 0.843 Nd
0.640 0.640 0.759 Nd
0.675 0.325 0.500 Nd
0.695 0.695 0.380 Nd
0.789 0.367 0.157 Nd
0.116 0.116 0.755 Sm
0.884 0.884 0.245 Sm
```

**Volume**: 672.2 Å³/cell
**Formation enthalpy at 0 K**: 0.301 eV per atom

4.
Crystalline TaFePt2 at its relaxed geometry. Source: the Alexandria database, functional PBE.

```
TaFePt2
1.0
-1.951 1.951 3.961
1.951 -1.951 3.961
1.951 1.951 -3.961
Ta Fe Pt
1 1 2
direct
0.000 0.000 0.000 Ta
0.750 0.250 0.500 Fe
0.250 0.750 0.500 Pt
0.500 0.500 0.000 Pt
```

**Volume**: 60.3 Å³/cell
**Formation enthalpy at 0 K**: -0.482 eV per atom

- The lowest volume belongs to which entry?
  TaFePt2

- Which of these has the highest volume?
  Pr3Nd5Sm

- Number 2 is which compound?
  Ac2CdAg4Ge3

- Among the records above, which one has the lowest volume?
  TaFePt2